No. 1
First-principles (GGA-PBE) data for an optimized crystal structure of DyPF, as listed in Alexandria via LeMat-Bulk.

Properties
- formation energy from raw total energies (eV/atom) = -2.059
- crystal system = hexagonal

```
DyPF
1.0
3.883 0.000 0.000
-1.942 3.363 0.000
0.000 0.000 4.159
Dy P F
1 1 1
Cartesian
0.000 0.000 0.000
1.942 1.121 2.079
0.000 2.242 0.000
```

=====

No. 2
First-principles (GGA-PBE) data for an optimized crystal structure of Hf2FeRh, as listed in Alexandria via LeMat-Bulk.

Properties
- energy (eV per cell) = -38.18
- crystal system = tetragonal

```
Hf2FeRh
1.0
3.214 0.000 0.000
0.000 3.214 0.000
0.000 0.000 6.399
Hf Fe Rh
2 1 1
Cartesian
0.000 0.000 1.541
0.000 0.000 4.858
1.607 1.607 0.000
1.607 1.607 3.199
```

=====

No. 3
First-principles (GGA-PBE) data for an optimized crystal structure of Zn2CuAgH, as listed in Alexandria via LeMat-Bulk.

Properties
- energy (eV per cell) = -12.19
- crystal system = tetragonal

```
Zn2CuAgH
1.0
4.292 0.000 0.000
0.000 4.292 0.000
0.000 0.000 3.390
Zn Cu Ag H
2 1 1 1
Cartesian
0.000 2.146 0.000
2.146 0.000 0.000
0.000 0.000 1.695
2.146 2.146 1.695
0.000 0.000 0.000
```

=====

No. 4
First-principles (GGA-PBE) data for an optimized crystal structure of La2SeCl, as listed in Alexandria via LeMat-Bulk.

Properties
- formation energy from raw total energies (eV/atom) = -1.777
- crystal system = monoclinic

```
La2SeCl
1.0
3.700 -2.122 0.000
3.700 2.122 0.000
-2.433 0.000 6.823
La Se Cl
2 1 1
Cartesian
1.242 0.000 1.697
3.726 0.000 5.127
-1.216 0.000 3.412
3.700 0.000 0.000
```

=====

Please write out number 2 again, unchanged.
First-principles (GGA-PBE) data for an optimized crystal structure of Hf2FeRh, as listed in Alexandria via LeMat-Bulk.

Properties
- energy (eV per cell) = -38.18
- crystal system = tetragonal

```
Hf2FeRh
1.0
3.214 0.000 0.000
0.000 3.214 0.000
0.000 0.000 6.399
Hf Fe Rh
2 1 1
Cartesian
0.000 0.000 1.541
0.000 0.000 4.858
1.607 1.607 0.000
1.607 1.607 3.199
```